# 1
! LiScPtAu | Alexandria via LeMat-Bulk | GGA-PBE | optimized geometry; values from VASP
! Final energy ... -5.215 eV per atom
! Formation enthalpy at 0 K ... -825 meV per atom
&SYSTEM
  ibrav = 0, nat = 4, ntyp = 4
/
ATOMIC_SPECIES
Li 6.94 Li.upf
Pt 195.08 Pt.upf
Sc 44.96 Sc.upf
Au 196.97 Au.upf
CELL_PARAMETERS angstrom
-4.211 -1.490 -0.971
-0.999 -4.443 0.392
-2.747 -1.438 3.359
ATOMIC_POSITIONS angstrom
Li -3.978 -3.686 1.390
Pt -5.967 -5.529 2.085
Sc 0.000 0.000 0.000
Au -1.989 -1.843 0.695

---

# 2
! LiSmPtAu | Alexandria via LeMat-Bulk | GGA-PBE | optimized geometry; values from VASP
! Final energy ... -4.793 eV per atom
! ΔE to the lowest computed polymorph ... 0 meV per atom
! Formation enthalpy at 0 K ... -805 meV per atom
&SYSTEM
  ibrav = 0, nat = 4, ntyp = 4
/
ATOMIC_SPECIES
Pt 195.08 Pt.upf
Li 6.94 Li.upf
Sm 150.36 Sm.upf
Au 196.97 Au.upf
CELL_PARAMETERS angstrom
-1.515 -3.900 -1.533
0.461 -2.126 4.952
-2.704 4.302 -1.794
ATOMIC_POSITIONS angstrom
Pt -3.975 0.176 -2.996
Li -1.420 -0.386 2.384
Sm -2.345 -1.332 -0.771
Au -0.765 -2.795 1.389

---

# 3
! LiSmPtAu | Alexandria via LeMat-Bulk | GGA-PBE | optimized geometry; values from VASP
! Final energy ... -4.738 eV per atom
! ΔE to the lowest computed polymorph ... 54 meV per atom
! Formation enthalpy at 0 K ... -751 meV per atom
&SYSTEM
  ibrav = 0, nat = 4, ntyp = 4
/
ATOMIC_SPECIES
Pt 195.08 Pt.upf
Sm 150.36 Sm.upf
Au 196.97 Au.upf
Li 6.94 Li.upf
CELL_PARAMETERS angstrom
4.858 0.000 0.000
2.429 4.207 0.000
2.429 1.402 3.967
ATOMIC_POSITIONS angstrom
Pt 7.288 4.207 2.975
Sm 0.000 0.000 0.000
Au 2.429 1.402 0.992
Li 4.858 2.805 1.983

---

# 4
! Sr2LiPtAu6 | Alexandria via LeMat-Bulk | GGA-PBE | optimized geometry; values from VASP
! Final energy ... -3.588 eV per atom
! Formation enthalpy at 0 K ... -490 meV per atom
&SYSTEM
  ibrav = 0, nat = 10, ntyp = 4
/
ATOMIC_SPECIES
Au 196.97 Au.upf
Sr 87.62 Sr.upf
Li 6.94 Li.upf
Pt 195.08 Pt.upf
CELL_PARAMETERS angstrom
6.411 -0.614 -0.333
-0.537 7.299 -0.331
2.744 3.073 4.910
ATOMIC_POSITIONS angstrom
Au 5.119 6.783 1.962
Au 4.874 1.555 0.296
Au 3.744 8.203 3.950
Au 5.155 4.347 0.462
Au 3.499 2.975 2.284
Au 3.463 5.411 3.783
Sr 1.932 7.157 1.488
Sr 6.686 2.601 2.757
Li 2.937 3.343 -0.332
Pt 0.000 0.000 0.000

---

# 5
! Sr8LiPtAu2 | Alexandria via LeMat-Bulk | GGA-PBE | optimized geometry; values from VASP
! Final energy ... -2.747 eV per atom
! Formation enthalpy at 0 K ... -417 meV per atom
&SYSTEM
  ibrav = 0, nat = 12, ntyp = 4
/
ATOMIC_SPECIES
Sr 87.62 Sr.upf
Au 196.97 Au.upf
Li 6.94 Li.upf
Pt 195.08 Pt.upf
CELL_PARAMETERS angstrom
7.618 0.033 -0.005
0.086 7.304 -0.007
0.007 0.013 9.169
ATOMIC_POSITIONS angstrom
Sr 6.376 1.823 7.076
Sr 6.371 1.815 2.081
Sr 2.459 1.812 -0.003
Sr 1.340 5.535 7.076
Sr 4.977 5.377 4.576
Sr 1.335 5.527 2.081
Sr 2.734 1.974 4.581
Sr 5.251 5.539 9.160
Au 3.857 3.679 6.967
Au 3.853 3.672 2.190
Li 0.003 0.007 4.584
Pt 0.000 0.000 0.000

---

# 6
! LiTaPtAu | Alexandria via LeMat-Bulk | GGA-PBE | optimized geometry; values from VASP
! Final energy ... -6.125 eV per atom
! Formation enthalpy at 0 K ... -354 meV per atom
&SYSTEM
  ibrav = 0, nat = 4, ntyp = 4
/
ATOMIC_SPECIES
Li 6.94 Li.upf
Ta 180.95 Ta.upf
Au 196.97 Au.upf
Pt 195.08 Pt.upf
CELL_PARAMETERS angstrom
-2.323 2.612 2.841
-2.329 -1.861 3.377
1.402 0.508 4.250
ATOMIC_POSITIONS angstrom
Li -1.625 0.629 5.234
Ta 0.000 0.000 0.000
Au -2.438 0.944 7.851
Pt -0.813 0.315 2.617

---

M_tot / Bohr magnetons per cell: 0.00; 0.00; 0.00; 0.00; 0.00; 0.00